# 1
## LaAl2Co (GGA-PBE)

Data for a relaxed structure of LaAl2Co.

a b c (Å): 4.2636 4.6381 4.6390
angles (deg): 64.49 90.00 90.00
Last column: nearest neighbours and their distance in Å.
Sites, in units of the cell vectors:
Al1 0.0000 0.4136 0.4137  2 Co 2.49, 1 Al 2.57
Al2 0.0000 0.0864 0.0863  2 Co 2.49, 1 Al 2.57
La1 0.5000 0.7500 0.7500  2 Co 2.47
Co1 0.5000 0.2500 0.2500  2 La 2.47, 4 Al 2.49

Properties
N(E_F) = 0.869 states/eV/atom
Volume = 82.8 Å³ per cell
Spin magnetization = 0.00 μB per formula unit
Space-group type = Cmmm
Energy of formation = -0.329 eV per atom



# 2
## Cs2NbI (GGA-PBE)

Data for a relaxed structure of Cs2NbI.

a b c (Å): 10.3992 10.3992 10.3992
angles (deg): 94.26 94.26 148.35
Last column: nearest neighbours and their distance in Å.
Sites, in units of the cell vectors:
Nb1 0.7500 0.2500 0.5000  2 I 2.84
Nb2 0.5000 0.5000 0.0000  2 I 2.84
I1 0.2500 0.7500 0.5000  2 Nb 2.84
I2 0.0000 0.0000 0.0000  2 Nb 2.84
Cs1 0.6250 0.9581 0.8331  2 I 3.79
Cs2 0.0419 0.8750 0.6669  2 I 3.79
Cs3 0.1250 0.7919 0.1669  2 I 3.79
Cs4 0.2081 0.3750 0.3331  2 I 3.79

Properties
ΔE_f (raw) = 0.549 eV per atom
N(E_F) = 0.988 states/eV/atom
Volume = 567.7 Å³ per cell
Spin magnetization = 4.21 μB per formula unit
Space-group type = I-42d



# 3
## Sr5Ga2Pb5 (GGA-PBE)

Data for a relaxed structure of Sr5Ga2Pb5.

a b c (Å): 4.6921 9.0251 10.3117
angles (deg): 86.05 76.85 74.93
Last column: nearest neighbours and their distance in Å.
Sites, in units of the cell vectors:
Pb1 0.7508 0.3142 0.1843  2 Ga 2.85
Pb2 0.0000 0.0000 0.0000  2 Pb 3.32, 4 Sr 3.61
Pb3 0.0590 0.2143 0.6677  1 Ga 2.80
Pb4 0.9410 0.7857 0.3323  1 Ga 2.80
Pb5 0.2492 0.6858 0.8157  2 Ga 2.85
Ga1 0.1318 0.4757 0.2607  3 Pb 2.80-2.85
Ga2 0.8682 0.5243 0.7393  3 Pb 2.80-2.85
Sr1 0.3872 0.3030 0.9226  7 Pb 3.49-3.61, 3 Ga 3.54-3.73
Sr2 0.7074 0.9182 0.6670  5 Pb 3.43-3.57, 1 Ga 3.50
Sr3 0.5000 0.5000 0.5000  4 Ga 3.37, 2 Pb 3.57
Sr4 0.6128 0.6970 0.0774  7 Pb 3.49-3.61, 3 Ga 3.54-3.73
Sr5 0.2926 0.0818 0.3330  5 Pb 3.43-3.57, 1 Ga 3.50

Properties
N(E_F) = 0.416 states/eV/atom
Volume = 410.6 Å³ per cell
Spin magnetization = 0.00 μB per formula unit
Space-group type = C2/m
Energy of formation = -0.448 eV per atom



> Which value of spin magnetization does entry 1 give?

0.00 μB per formula unit



> Look up the volume of the third one.

410.6 Å³ per cell



> The highest N(E_F) belongs to which entry?

Cs2NbI



> Look up the volume of the second one.

567.7 Å³ per cell